# LaAlO3 | Alexandria via LeMat-Bulk | PBE-GGA | optimized geometry
# Space group = C2/c
# Size of the total moment = 0.000 Bohr magnetons per cell
# Volume = 14.11 Å³/atom
# D(E_F) = 0.0 states/eV/cell
# E = -7.771 eV per atom
# Formation energy from raw total energies = -3.062 eV/atom
data_LaAlO3
_chemical_formula_sum 'La4 Al4 O12'
_cell_length_a 11.2053
_cell_length_b 6.8291
_cell_length_c 6.8291
_cell_angle_alpha 104.02
_cell_angle_beta 130.90
_cell_angle_gamma 49.10
_symmetry_space_group_name_H-M 'P 1'
_symmetry_Int_Tables_number 1
_symmetry_space_group_name_Hall 'P 1'
loop_
_atom_site_label
_atom_site_type_symbol
_atom_site_fract_x
_atom_site_fract_y
_atom_site_fract_z
O1 O 0.1640 0.3162 0.9270
O2 O 0.3360 0.4270 0.8162
O3 O 0.5423 0.1968 0.3263
O4 O 0.6789 0.2473 0.8499
O5 O 0.8360 0.6838 0.0730
O6 O 0.4577 0.8032 0.6737
O7 O 0.9577 0.8263 0.6968
O8 O 0.0423 0.1737 0.3032
O9 O 0.1789 0.6501 0.2527
O10 O 0.6640 0.5730 0.1838
O11 O 0.3211 0.7527 0.1501
O12 O 0.8211 0.3499 0.7473
Al1 Al 0.7500 0.1589 0.6589
Al2 Al 0.7500 0.4868 0.9868
Al3 Al 0.2500 0.5132 0.0132
Al4 Al 0.2500 0.8411 0.3411
La1 La 0.2849 0.9008 0.8410
La2 La 0.7151 0.0992 0.1590
La3 La 0.2151 0.3410 0.4008
La4 La 0.7849 0.6590 0.5992


# CsLiCd2Ni | Alexandria via LeMat-Bulk | PBE-GGA | optimized geometry
# Space group = P4/mmm
# Size of the total moment = 0.000 Bohr magnetons per cell
# Volume = 28.53 Å³/atom
# D(E_F) = 2.6 states/eV/cell
# E = -1.968 eV per atom
# Formation enthalpy at 0 K = 0.107 eV/atom
data_CsLiCd2Ni
_chemical_formula_sum 'Cs1 Li1 Cd2 Ni1'
_cell_length_a 5.2411
_cell_length_b 5.2411
_cell_length_c 5.1935
_cell_angle_alpha 90.00
_cell_angle_beta 90.00
_cell_angle_gamma 90.00
_symmetry_space_group_name_H-M 'P 1'
_symmetry_Int_Tables_number 1
_symmetry_space_group_name_Hall 'P 1'
loop_
_atom_site_label
_atom_site_type_symbol
_atom_site_fract_x
_atom_site_fract_y
_atom_site_fract_z
Cd1 Cd 0.5000 0.0000 0.0000
Cd2 Cd 0.0000 0.5000 0.0000
Li1 Li 0.0000 0.0000 0.5000
Ni1 Ni 0.0000 0.0000 0.0000
Cs1 Cs 0.5000 0.5000 0.5000


# K2Ce2CdSe6 | Alexandria via LeMat-Bulk | PBE-GGA | optimized geometry
# Space group = C2/m
# Size of the total moment = 0.000 Bohr magnetons per cell
# Volume = 32.73 Å³/atom
# E = -4.617 eV per atom
# Formation energy from raw total energies = -1.355 eV/atom
data_K2Ce2CdSe6
_chemical_formula_sum 'K2 Ce2 Cd1 Se6'
_cell_length_a 7.3222
_cell_length_b 7.3222
_cell_length_c 8.1793
_cell_angle_alpha 97.91
_cell_angle_beta 97.91
_cell_angle_gamma 121.21
_symmetry_space_group_name_H-M 'P 1'
_symmetry_Int_Tables_number 1
_symmetry_space_group_name_Hall 'P 1'
loop_
_atom_site_label
_atom_site_type_symbol
_atom_site_fract_x
_atom_site_fract_y
_atom_site_fract_z
Se1 Se 0.0621 0.4097 0.7023
Se2 Se 0.9379 0.5903 0.2977
Se3 Se 0.7354 0.7354 0.6973
Se4 Se 0.5903 0.9379 0.2977
Se5 Se 0.4097 0.0621 0.7023
Se6 Se 0.2646 0.2646 0.3027
K1 K 0.8379 0.1621 0.0000
K2 K 0.1621 0.8379 0.0000
Ce1 Ce 0.6657 0.3343 0.5000
Ce2 Ce 0.3343 0.6657 0.5000
Cd1 Cd 0.0000 0.0000 0.5000


# LiZnCl2 | Alexandria via LeMat-Bulk | PBE-GGA | optimized geometry
# Space group = Amm2
# E above lowest polymorph = 0.000 eV/atom
# Size of the total moment = 0.000 Bohr magnetons per cell
# Volume = 21.32 Å³/atom
# D(E_F) = 0.5 states/eV/cell
# E = -2.722 eV per atom
# Formation energy from raw total energies = -1.002 eV/atom
data_LiZnCl2
_chemical_formula_sum 'Li1 Zn1 Cl2'
_cell_length_a 5.5467
_cell_length_b 3.9456
_cell_length_c 3.9455
_cell_angle_alpha 80.92
_cell_angle_beta 90.00
_cell_angle_gamma 90.00
_symmetry_space_group_name_H-M 'P 1'
_symmetry_Int_Tables_number 1
_symmetry_space_group_name_Hall 'P 1'
loop_
_atom_site_label
_atom_site_type_symbol
_atom_site_fract_x
_atom_site_fract_y
_atom_site_fract_z
Cl1 Cl 0.5000 0.3750 0.3751
Cl2 Cl 0.0000 0.8357 0.8356
Li1 Li 0.0000 0.4278 0.4277
Zn1 Zn 0.5000 0.8615 0.8616


# Na4HoZr3Se8 | Alexandria via LeMat-Bulk | PBE-GGA | optimized geometry
# Space group = R-3m
# Size of the total moment = 0.000 Bohr magnetons per cell
# Volume = 23.68 Å³/atom
# D(E_F) = 7.7 states/eV/cell
# E = -5.349 eV per atom
# Formation energy from raw total energies = -1.388 eV/atom
data_Na4HoZr3Se8
_chemical_formula_sum 'Na4 Ho1 Zr3 Se8'
_cell_length_a 7.8215
_cell_length_b 8.4592
_cell_length_c 7.8216
_cell_angle_alpha 117.54
_cell_angle_beta 120.00
_cell_angle_gamma 90.00
_symmetry_space_group_name_H-M 'P 1'
_symmetry_Int_Tables_number 1
_symmetry_space_group_name_Hall 'P 1'
loop_
_atom_site_label
_atom_site_type_symbol
_atom_site_fract_x
_atom_site_fract_y
_atom_site_fract_z
Se1 Se 0.7419 0.7257 0.4838
Se2 Se 0.7533 0.2716 0.5066
Se3 Se 0.2650 0.2716 0.0183
Se4 Se 0.2467 0.7284 0.9817
Se5 Se 0.7350 0.7284 0.9817
Se6 Se 0.7533 0.2716 0.0183
Se7 Se 0.2467 0.7284 0.4934
Se8 Se 0.2581 0.2743 0.5162
Na1 Na 0.5000 0.0000 0.5000
Na2 Na 0.0000 0.0000 0.5000
Na3 Na 0.0000 0.0000 0.0000
Na4 Na 0.5000 0.0000 0.0000
Zr1 Zr 0.0000 0.5000 0.5000
Zr2 Zr 0.5000 0.5000 0.5000
Zr3 Zr 0.5000 0.5000 0.0000
Ho1 Ho 0.0000 0.5000 0.0000


# SrAlCd | Alexandria via LeMat-Bulk | PBE-GGA | optimized geometry
# Space group = P-1
# Size of the total moment = 0.000 Bohr magnetons per cell
# Volume = 29.11 Å³/atom
# D(E_F) = 3.6 states/eV/cell
# E = -2.313 eV per atom
# Formation enthalpy at 0 K = -0.200 eV/atom
data_SrAlCd
_chemical_formula_sum 'Sr2 Al2 Cd2'
_cell_length_a 4.3910
_cell_length_b 6.0485
_cell_length_c 7.1289
_cell_angle_alpha 76.62
_cell_angle_beta 72.01
_cell_angle_gamma 89.95
_symmetry_space_group_name_H-M 'P 1'
_symmetry_Int_Tables_number 1
_symmetry_space_group_name_Hall 'P 1'
loop_
_atom_site_label
_atom_site_type_symbol
_atom_site_fract_x
_atom_site_fract_y
_atom_site_fract_z
Al1 Al 0.4373 0.6779 0.3997
Al2 Al 0.9820 0.9502 0.3088
Cd1 Cd 0.6207 0.0347 0.0315
Cd2 Cd 0.7986 0.5934 0.6770
Sr1 Sr 0.3209 0.1230 0.6306
Sr2 Sr 0.0984 0.5051 0.0780


# Ca2Ga2Ag3 | Alexandria via LeMat-Bulk | PBE-GGA | optimized geometry
# Space group = Cmcm
# E above lowest polymorph = 0.010 eV/atom
# Size of the total moment = 0.000 Bohr magnetons per cell
# Volume = 22.68 Å³/atom
# D(E_F) = 5.7 states/eV/cell
# E = -2.975 eV per atom
# Formation enthalpy at 0 K = -0.316 eV/atom
data_Ca2Ga2Ag3
_chemical_formula_sum 'Ca4 Ga4 Ag6'
_cell_length_a 4.4217
_cell_length_b 7.2980
_cell_length_c 10.0851
_cell_angle_alpha 90.00
_cell_angle_beta 102.66
_cell_angle_gamma 90.00
_symmetry_space_group_name_H-M 'P 1'
_symmetry_Int_Tables_number 1
_symmetry_space_group_name_Hall 'P 1'
loop_
_atom_site_label
_atom_site_type_symbol
_atom_site_fract_x
_atom_site_fract_y
_atom_site_fract_z
Ca1 Ca 0.8413 0.7500 0.6827
Ca2 Ca 0.0544 0.7500 0.1088
Ca3 Ca 0.9456 0.2500 0.8912
Ca4 Ca 0.1587 0.2500 0.3173
Ga1 Ga 0.6920 0.5590 0.3839
Ga2 Ga 0.3080 0.0590 0.6161
Ga3 Ga 0.3080 0.4410 0.6161
Ga4 Ga 0.6920 0.9410 0.3839
Ag1 Ag 0.7778 0.2500 0.5555
Ag2 Ag 0.2222 0.7500 0.4445
Ag3 Ag 0.4349 0.9398 0.8698
Ag4 Ag 0.4349 0.5602 0.8698
Ag5 Ag 0.5651 0.4398 0.1302
Ag6 Ag 0.5651 0.0602 0.1302


# Hg2PtF | Alexandria via LeMat-Bulk | PBE-GGA | optimized geometry
# Space group = Fm-3m
# E above lowest polymorph = 0.014 eV/atom
# Size of the total moment = 0.000 Bohr magnetons per cell
# Volume = 17.82 Å³/atom
# D(E_F) = 1.3 states/eV/cell
# E = -2.440 eV per atom
# Formation energy from raw total energies = -0.311 eV/atom
data_Hg2PtF
_chemical_formula_sum 'Hg2 Pt1 F1'
_cell_length_a 4.6542
_cell_length_b 4.6542
_cell_length_c 4.6542
_cell_angle_alpha 60.00
_cell_angle_beta 60.00
_cell_angle_gamma 60.00
_symmetry_space_group_name_H-M 'P 1'
_symmetry_Int_Tables_number 1
_symmetry_space_group_name_Hall 'P 1'
loop_
_atom_site_label
_atom_site_type_symbol
_atom_site_fract_x
_atom_site_fract_y
_atom_site_fract_z
F1 F 0.0000 0.0000 0.0000
Pt1 Pt 0.5000 0.5000 0.5000
Hg1 Hg 0.2500 0.2500 0.2500
Hg2 Hg 0.7500 0.7500 0.7500


# SbPBr2 | Alexandria via LeMat-Bulk | PBE-GGA | optimized geometry
# Space group = C2/m
# E above lowest polymorph = 0.617 eV/atom
# Size of the total moment = 0.000 Bohr magnetons per cell
# Volume = 24.29 Å³/atom
# D(E_F) = 2.6 states/eV/cell
# E = -2.802 eV per atom
# Formation energy from raw total energies = 0.418 eV/atom
data_SbPBr2
_chemical_formula_sum 'Sb1 P1 Br2'
_cell_length_a 5.8679
_cell_length_b 5.8679
_cell_length_c 6.0235
_cell_angle_alpha 58.88
_cell_angle_beta 58.88
_cell_angle_gamma 33.83
_symmetry_space_group_name_H-M 'P 1'
_symmetry_Int_Tables_number 1
_symmetry_space_group_name_Hall 'P 1'
loop_
_atom_site_label
_atom_site_type_symbol
_atom_site_fract_x
_atom_site_fract_y
_atom_site_fract_z
Sb1 Sb 0.7500 0.7500 0.7500
Br1 Br 0.9729 0.9729 0.0276
Br2 Br 0.5271 0.5271 0.4724
P1 P 0.2500 0.2500 0.2500


# ReHS2 | Alexandria via LeMat-Bulk | PBE-GGA | optimized geometry
# Space group = R-3m
# E above lowest polymorph = 0.931 eV/atom
# Size of the total moment = 0.000 Bohr magnetons per cell
# Volume = 12.90 Å³/atom
# D(E_F) = 2.5 states/eV/cell
# E = -5.220 eV per atom
data_ReHS2
_chemical_formula_sum 'Re1 H1 S2'
_cell_length_a 7.3688
_cell_length_b 7.3688
_cell_length_c 7.3688
_cell_angle_alpha 22.55
_cell_angle_beta 22.55
_cell_angle_gamma 22.55
_symmetry_space_group_name_H-M 'P 1'
_symmetry_Int_Tables_number 1
_symmetry_space_group_name_Hall 'P 1'
loop_
_atom_site_label
_atom_site_type_symbol
_atom_site_fract_x
_atom_site_fract_y
_atom_site_fract_z
S1 S 0.1043 0.1043 0.1043
S2 S 0.8957 0.8957 0.8957
Re1 Re 0.0000 0.0000 0.0000
H1 H 0.5000 0.5000 0.5000


# Zr2SnGe2 | Alexandria via LeMat-Bulk | PBE-GGA | optimized geometry
# Space group = P4/mbm
# E above lowest polymorph = 0.034 eV/atom
# Size of the total moment = 0.000 Bohr magnetons per cell
# Volume = 21.30 Å³/atom
# D(E_F) = 6.8 states/eV/cell
# E = -6.441 eV per atom
# Formation enthalpy at 0 K = -0.374 eV/atom
data_Zr2SnGe2
_chemical_formula_sum 'Zr4 Sn2 Ge4'
_cell_length_a 7.5564
_cell_length_b 7.5564
_cell_length_c 3.7304
_cell_angle_alpha 90.00
_cell_angle_beta 90.00
_cell_angle_gamma 90.00
_symmetry_space_group_name_H-M 'P 1'
_symmetry_Int_Tables_number 1
_symmetry_space_group_name_Hall 'P 1'
loop_
_atom_site_label
_atom_site_type_symbol
_atom_site_fract_x
_atom_site_fract_y
_atom_site_fract_z
Ge1 Ge 0.3481 0.1519 0.5000
Ge2 Ge 0.8481 0.3481 0.5000
Ge3 Ge 0.1519 0.6519 0.5000
Ge4 Ge 0.6519 0.8481 0.5000
Zr1 Zr 0.6500 0.1500 0.0000
Zr2 Zr 0.8500 0.6500 0.0000
Zr3 Zr 0.1500 0.3500 0.0000
Zr4 Zr 0.3500 0.8500 0.0000
Sn1 Sn 0.0000 0.0000 0.0000
Sn2 Sn 0.5000 0.5000 0.0000


# TmSiHRu | Alexandria via LeMat-Bulk | PBE-GGA | optimized geometry
# Space group = P4/nmm
# Size of the total moment = 0.000 Bohr magnetons per cell
# Volume = 14.38 Å³/atom
# D(E_F) = 3.8 states/eV/cell
# E = -6.398 eV per atom
data_TmSiHRu
_chemical_formula_sum 'Tm2 Si2 H2 Ru2'
_cell_length_a 4.0553
_cell_length_b 4.0553
_cell_length_c 6.9954
_cell_angle_alpha 90.00
_cell_angle_beta 90.00
_cell_angle_gamma 90.00
_symmetry_space_group_name_H-M 'P 1'
_symmetry_Int_Tables_number 1
_symmetry_space_group_name_Hall 'P 1'
loop_
_atom_site_label
_atom_site_type_symbol
_atom_site_fract_x
_atom_site_fract_y
_atom_site_fract_z
Tm1 Tm 0.0000 0.5000 0.3423
Tm2 Tm 0.5000 0.0000 0.6577
H1 H 0.5000 0.5000 0.5000
H2 H 0.0000 0.0000 0.5000
Ru1 Ru 0.0000 0.0000 0.0000
Ru2 Ru 0.5000 0.5000 0.0000
Si1 Si 0.5000 0.0000 0.1772
Si2 Si 0.0000 0.5000 0.8228